[1]
Here is a relaxed structure of Sr2LaAg from Alexandria via LeMat-Bulk. Energies are from GGA-PBEsol.

a = 3.8575 Å, b = 3.8575 Å, c = 9.9218 Å
α = 90.00°, β = 90.00°, γ = 90.00°
Closest atoms and distances in Å follow each position.
Atoms (fractional coordinates):
Sr: 0.0000 0.0000 0.0000  8 Sr 3.86-4.29, 4 La 4.05
Sr: 0.5000 0.5000 0.3333  4 Ag 3.36, 1 La 3.62
La: 0.5000 0.5000 0.6981  4 Ag 3.19
Ag: 0.0000 0.0000 0.5311  4 La 3.19, 4 Sr 3.36

Computed properties:
DOS at the Fermi energy: 1.371 states/eV/atom
Formation enthalpy at 0 K: -55 meV per atom
ΔE to the lowest computed polymorph: 0.0 meV per atom
SG: P4mm, No. 99
Total energy: -3.139 eV per atom

[2]
Here is a relaxed structure of SrLa2Ag from Alexandria via LeMat-Bulk. Energies are from GGA-PBEsol.

a = 6.8150 Å, b = 6.8150 Å, c = 3.5946 Å
α = 102.60°, β = 102.60°, γ = 122.94°
Closest atoms and distances in Å follow each position.
Atoms (fractional coordinates):
Sr: 0.0000 0.0000 0.0000  4 Ag 3.25-3.58, 4 La 3.49, 2 Sr 3.59
La: 0.0000 0.5000 0.5000  6 La 3.25-3.59, 2 Ag 3.49, 2 Sr 3.49
La: 0.5000 0.0000 0.5000  6 La 3.25-3.59, 2 Ag 3.49, 2 Sr 3.49
Ag: 0.5000 0.5000 0.0000  4 Sr 3.25-3.58, 4 La 3.49, 2 Ag 3.59

Computed properties:
DOS at the Fermi energy: 1.039 states/eV/atom
Formation enthalpy at 0 K: 138 meV per atom
ΔE to the lowest computed polymorph: 209.7 meV per atom
SG: C2/m, No. 12
Total energy: -3.823 eV per atom

[3]
Here is a relaxed structure of SrLa2Ag from Alexandria via LeMat-Bulk. Energies are from GGA-PBEsol.

a = 6.2942 Å, b = 6.2942 Å, c = 6.2942 Å
α = 134.76°, β = 134.76°, γ = 65.91°
Closest atoms and distances in Å follow each position.
Atoms (fractional coordinates):
Sr: 0.0000 0.0000 0.0000  8 La 3.42-3.58, 4 Ag 3.58
La: 0.2500 0.7500 0.5000  4 Ag 3.42, 4 La 3.58, 4 Sr 3.58
La: 0.5000 0.5000 0.0000  4 Sr 3.42, 4 La 3.58, 4 Ag 3.58
Ag: 0.7500 0.2500 0.5000  8 La 3.42-3.58, 4 Sr 3.58

Computed properties:
DOS at the Fermi energy: 1.530 states/eV/atom
Formation enthalpy at 0 K: 164 meV per atom
ΔE to the lowest computed polymorph: 234.9 meV per atom
SG: I-4m2, No. 119
Total energy: -3.797 eV per atom

What is the ΔE to the lowest computed polymorph in the third record?
234.9 meV per atom

What did the third record say?
Here is a relaxed structure of SrLa2Ag from Alexandria via LeMat-Bulk. Energies are from GGA-PBEsol.

a = 6.2942 Å, b = 6.2942 Å, c = 6.2942 Å
α = 134.76°, β = 134.76°, γ = 65.91°
Closest atoms and distances in Å follow each position.
Atoms (fractional coordinates):
Sr: 0.0000 0.0000 0.0000  8 La 3.42-3.58, 4 Ag 3.58
La: 0.2500 0.7500 0.5000  4 Ag 3.42, 4 La 3.58, 4 Sr 3.58
La: 0.5000 0.5000 0.0000  4 Sr 3.42, 4 La 3.58, 4 Ag 3.58
Ag: 0.7500 0.2500 0.5000  8 La 3.42-3.58, 4 Sr 3.58

Computed properties:
DOS at the Fermi energy: 1.530 states/eV/atom
Formation enthalpy at 0 K: 164 meV per atom
ΔE to the lowest computed polymorph: 234.9 meV per atom
SG: I-4m2, No. 119
Total energy: -3.797 eV per atom

Repeat the second record exactly.
Here is a relaxed structure of SrLa2Ag from Alexandria via LeMat-Bulk. Energies are from GGA-PBEsol.

a = 6.8150 Å, b = 6.8150 Å, c = 3.5946 Å
α = 102.60°, β = 102.60°, γ = 122.94°
Closest atoms and distances in Å follow each position.
Atoms (fractional coordinates):
Sr: 0.0000 0.0000 0.0000  4 Ag 3.25-3.58, 4 La 3.49, 2 Sr 3.59
La: 0.0000 0.5000 0.5000  6 La 3.25-3.59, 2 Ag 3.49, 2 Sr 3.49
La: 0.5000 0.0000 0.5000  6 La 3.25-3.59, 2 Ag 3.49, 2 Sr 3.49
Ag: 0.5000 0.5000 0.0000  4 Sr 3.25-3.58, 4 La 3.49, 2 Ag 3.59

Computed properties:
DOS at the Fermi energy: 1.039 states/eV/atom
Formation enthalpy at 0 K: 138 meV per atom
ΔE to the lowest computed polymorph: 209.7 meV per atom
SG: C2/m, No. 12
Total energy: -3.823 eV per atom